This record from Alexandria describes a relaxed Rb3Th2CuS6 crystal. The functional is PBE.

```
Rb3Th2CuS6
1.0
3.480 -6.638 0.000
3.480 6.638 0.000
-2.054 0.000 7.599
Rb Th Cu S
3 2 1 6
Cartesian
0.000 0.000 0.000
3.480 1.967 0.000
3.480 -1.967 0.000
2.453 4.437 3.800
2.453 -4.437 3.800
2.453 0.000 3.800
1.135 2.576 2.167
0.454 0.000 4.952
1.135 -2.576 2.167
3.770 2.576 5.432
4.451 0.000 2.647
3.770 -2.576 5.432
```

## Properties
* ρ: 4.619 Mg/m³
* uncorrected energy: -63.95 eV per cell
* size of the total moment: 0.0 μB/f.u.